Material: NbGe2Mo
Method: DFT, PBE
State: relaxed

Cell and atoms, written as CIF:
```
data_NbGe2Mo
_cell_length_a 3.878
_cell_length_b 3.878
_cell_length_c 9.822
_cell_angle_alpha 78.61
_cell_angle_beta 78.61
_cell_angle_gamma 90.00
_symmetry_space_group_name_H-M 'P 1'
_symmetry_Int_Tables_number 1
loop_
_symmetry_equiv_pos_as_xyz
'x,y,z'
loop_
_atom_site_label
_atom_site_fract_x
_atom_site_fract_y
_atom_site_fract_z
Nb1 0.250 0.750 0.500
Nb2 0.500 0.500 0.000
Ge1 0.628 0.125 0.250
Ge2 0.375 0.372 0.750
Ge3 0.122 0.625 0.250
Ge4 0.875 0.878 0.750
Mo1 0.750 0.250 0.500
Mo2 0.000 0.000 0.000
```

## Properties
Energy relative to the elements = 0.252 eV/atom
Calculated volume = 17.7 Å³ per atom
E_tot = -7.2822 eV/atom
Total magnetic moment = 0.00 μB per formula unit

Material: Nd2GaAg
Method: DFT, PBE
State: relaxed

Cell and atoms, written as CIF:
```
data_Nd2GaAg
_cell_length_a 3.796
_cell_length_b 3.796
_cell_length_c 9.276
_cell_angle_alpha 78.19
_cell_angle_beta 78.19
_cell_angle_gamma 60.00
_symmetry_space_group_name_H-M 'P 1'
_symmetry_Int_Tables_number 1
loop_
_symmetry_equiv_pos_as_xyz
'x,y,z'
loop_
_atom_site_label
_atom_site_fract_x
_atom_site_fract_y
_atom_site_fract_z
Nd1 0.746 0.746 0.761
Nd2 0.254 0.254 0.239
Ga1 0.000 0.000 0.000
Ag1 0.500 0.500 0.500
```

## Properties
Energy relative to the elements = -0.207 eV/atom
Calculated volume = 28.1 Å³ per atom
E_tot = -4.0600 eV/atom
Total magnetic moment = 0.00 μB per formula unit

Material: Zr2TaSi
Method: DFT, PBE
State: relaxed

Cell and atoms, written as CIF:
```
data_Zr2TaSi
_cell_length_a 5.492
_cell_length_b 5.492
_cell_length_c 5.492
_cell_angle_alpha 140.54
_cell_angle_beta 132.04
_cell_angle_gamma 63.79
_symmetry_space_group_name_H-M 'P 1'
_symmetry_Int_Tables_number 1
loop_
_symmetry_equiv_pos_as_xyz
'x,y,z'
loop_
_atom_site_label
_atom_site_fract_x
_atom_site_fract_y
_atom_site_fract_z
Ta1 0.269 0.769 0.500
Zr1 0.004 0.004 0.000
Zr2 0.741 0.241 0.500
Si1 0.486 0.486 0.000
```

## Properties
Calculated volume = 19.3 Å³ per atom
Raw formation energy = -19.29 kJ/mol of atoms
E_tot = -8.7929 eV/atom
Total magnetic moment = 0.00 μB per formula unit